Material: Gd2TlNi
Method: DFT, PBE
State: relaxed

a b c (Å): 3.8282 3.8282 28.9659
angles (deg): 90.00 90.00 120.00
With the nearest neighbours (Å) after each atom.
Atoms (fractional coordinates):
Gd: 0.0000 0.0000 0.1129  3 Ni 2.70
Gd: 0.0000 0.0000 0.8871  3 Ni 2.70
Gd: 0.3333 0.6667 0.5538  3 Ni 2.70
Gd: 0.3333 0.6667 0.7795  3 Ni 2.70
Gd: 0.6667 0.3333 0.2205  3 Ni 2.70
Gd: 0.6667 0.3333 0.4462  3 Ni 2.70
Tl: 0.0000 0.0000 0.0000  2 Gd 3.27
Tl: 0.3333 0.6667 0.6667  2 Gd 3.27
Tl: 0.6667 0.3333 0.3333  2 Gd 3.27
Ni: 0.0000 0.0000 0.5000  6 Gd 2.70
Ni: 0.3333 0.6667 0.1667  6 Gd 2.70
Ni: 0.6667 0.3333 0.8333  6 Gd 2.70

Properties
energy: -9.1634 eV per atom
space group: R-3m
formation energy: -0.09 eV per atom
relative energy among the computed polymorphs: 101 kJ/mol of formula units